(1)
DFT (PBE-GGA) results for an optimized crystal structure of LaPrHgBi.

Output
- Calculated formation energy: -0.6202 eV per atom

a = 7.893 Å, b = 7.893 Å, c = 7.893 Å
α = 90.00°, β = 90.00°, γ = 90.00°
Space group F-43m (No. 216)
Asymmetric unit:
1 La 0.000 0.000 0.000 (multiplicity 4)
2 Pr 0.000 0.000 0.500 (multiplicity 4)
3 Hg 0.250 0.250 0.750 (multiplicity 4)
4 Bi 0.250 0.250 0.250 (multiplicity 4)


(2)
DFT (PBE-GGA) results for an optimized crystal structure of TiIn2I6.

Output
- Formation energy from raw total energies: -610 meV per atom

a = 7.760 Å, b = 8.392 Å, c = 13.111 Å
α = 90.00°, β = 121.71°, γ = 90.00°
Space group P2_1/c (No. 14)
Asymmetric unit:
1 Ti 0.000 0.000 0.000 (multiplicity 2)
2 In 0.319 0.108 0.782 (multiplicity 4)
3 I 0.110 0.028 0.237 (multiplicity 4)
4 I 0.221 0.720 0.055 (multiplicity 4)
5 I 0.339 0.178 0.048 (multiplicity 4)


(3)
DFT (PBE-GGA) results for an optimized crystal structure of Al3Fe5B2.

Output
- Calculated formation energy: -0.3020 eV per atom

a = 8.637 Å, b = 8.637 Å, c = 2.799 Å
α = 90.00°, β = 90.00°, γ = 90.00°
Space group P4/mbm (No. 127)
Asymmetric unit:
1 Al 0.000 0.000 0.000 (multiplicity 2)
2 Al 0.175 0.325 0.000 (multiplicity 4)
3 Fe 0.000 0.500 0.500 (multiplicity 2)
4 Fe 0.069 0.783 0.500 (multiplicity 8)
5 B 0.124 0.624 0.000 (multiplicity 4)


(4)
DFT (PBE-GGA) results for an optimized crystal structure of LaHgAs2.

Output
- Calculated formation energy: -0.5040 eV per atom

a = 7.731 Å, b = 7.731 Å, c = 6.868 Å
α = 90.00°, β = 90.00°, γ = 90.00°
Space group I-42d (No. 122)
Asymmetric unit:
1 La 0.000 0.000 0.000 (multiplicity 4)
2 Hg 0.000 0.000 0.500 (multiplicity 4)
3 As 0.217 0.250 0.625 (multiplicity 8)


(5)
DFT (PBE-GGA) results for an optimized crystal structure of La2H2Ir.

Output
- Energy: -57.03 eV/cell

a = 3.644 Å, b = 3.644 Å, c = 13.461 Å
α = 90.00°, β = 90.00°, γ = 90.00°
Space group I4/mmm (No. 139)
Asymmetric unit:
1 La 0.000 0.000 0.132 (multiplicity 4)
2 H 0.000 0.500 0.250 (multiplicity 4)
3 Ir 0.000 0.000 0.500 (multiplicity 2)


(6)
DFT (PBE-GGA) results for an optimized crystal structure of UNi5Ir2.

Output
- Calculated formation energy: -0.0675 eV per atom

a = 3.570 Å, b = 7.223 Å, c = 8.956 Å
α = 90.00°, β = 90.00°, γ = 90.00°
Space group Immm (No. 71)
Asymmetric unit:
1 U 0.000 0.000 0.000 (multiplicity 2)
2 Ni 0.000 0.173 0.363 (multiplicity 8)
3 Ni 0.000 0.500 0.000 (multiplicity 2)
4 Ir 0.000 0.500 0.283 (multiplicity 4)


(7)
DFT (PBE-GGA) results for an optimized crystal structure of RbFeRhSe3.

Output
- Formation energy from raw total energies: -574 meV per atom

a = 8.712 Å, b = 3.838 Å, c = 9.843 Å
α = 90.00°, β = 115.28°, γ = 90.00°
Space group P2_1/m (No. 11)
Asymmetric unit:
1 Rb 0.234 0.250 0.255 (multiplicity 2)
2 Fe 0.079 0.250 0.592 (multiplicity 2)
3 Rh 0.327 0.750 0.846 (multiplicity 2)
4 Se 0.134 0.250 0.854 (multiplicity 2)
5 Se 0.237 0.750 0.557 (multiplicity 2)
6 Se 0.474 0.750 0.126 (multiplicity 2)


(8)
DFT (PBE-GGA) results for an optimized crystal structure of MnBiC2N.

Output
- Formation energy from raw total energies: 3415 meV per atom

a = 4.402 Å, b = 4.402 Å, c = 4.250 Å
α = 90.00°, β = 90.00°, γ = 90.00°
Space group P4/mmm (No. 123)
Asymmetric unit:
1 Mn 0.000 0.000 0.000 (multiplicity 1)
2 Bi 0.500 0.500 0.500 (multiplicity 1)
3 C 0.000 0.500 0.500 (multiplicity 2)
4 N 0.500 0.500 0.000 (multiplicity 1)


(9)
DFT (PBE-GGA) results for an optimized crystal structure of BaHg6As2.

Output
- Calculated formation energy: -0.1917 eV per atom

a = 4.848 Å, b = 4.848 Å, c = 10.679 Å
α = 90.00°, β = 90.00°, γ = 90.00°
Space group P4/mmm (No. 123)
Asymmetric unit:
1 Ba 0.000 0.000 0.000 (multiplicity 1)
2 Hg 0.000 0.000 0.500 (multiplicity 1)
3 Hg 0.000 0.500 0.290 (multiplicity 4)
4 Hg 0.500 0.500 0.500 (multiplicity 1)
5 As 0.500 0.500 0.111 (multiplicity 2)


(10)
DFT (PBE-GGA) results for an optimized crystal structure of Pm5Pr12Er3.

Output
- Calculated formation energy: 0.9466 eV per atom

a = 18.865 Å, b = 18.865 Å, c = 18.865 Å
α = 90.00°, β = 90.00°, γ = 90.00°
Space group Ia-3d (No. 230)
Asymmetric unit:
1 Pm 0.000 0.000 0.000 (multiplicity 16)
2 Pm 0.000 0.250 0.375 (multiplicity 24)
3 Pr 0.011 0.084 0.648 (multiplicity 96)
4 Er 0.000 0.250 0.125 (multiplicity 24)


(11)
DFT (PBE-GGA) results for an optimized crystal structure of YErScIn.

Output
- Calculated formation energy: -0.1615 eV per atom

a = 7.540 Å, b = 7.540 Å, c = 7.540 Å
α = 90.00°, β = 90.00°, γ = 90.00°
Space group F-43m (No. 216)
Asymmetric unit:
1 Y 0.000 0.000 0.000 (multiplicity 4)
2 Er 0.000 0.000 0.500 (multiplicity 4)
3 Sc 0.250 0.250 0.250 (multiplicity 4)
4 In 0.250 0.250 0.750 (multiplicity 4)


(12)
DFT (PBE-GGA) results for an optimized crystal structure of HW3.

Output
- Energy: -75.87 eV/cell

a = 5.4945 Å, b = 5.4945 Å, c = 4.3845 Å
α = 90.00°, β = 90.00°, γ = 120.00°
Space group P6_3/mmc (No. 194)
Asymmetric unit:
1 H 0.3333 0.6667 0.2500 (multiplicity 2)
2 W 0.1656 0.3312 0.7500 (multiplicity 6)


(13)
DFT (PBE-GGA) results for an optimized crystal structure of Nd2SnGe3Pt4.

Output
- Calculated formation energy: -0.8965 eV per atom

a = 4.417 Å, b = 4.417 Å, c = 10.383 Å
α = 90.00°, β = 90.00°, γ = 90.00°
Space group P-4m2 (No. 115)
Asymmetric unit:
1 Nd 0.000 0.500 0.238 (multiplicity 2)
2 Sn 0.000 0.000 0.500 (multiplicity 1)
3 Ge 0.000 0.500 0.876 (multiplicity 2)
4 Ge 0.500 0.500 0.500 (multiplicity 1)
5 Pt 0.000 0.000 0.000 (multiplicity 1)
6 Pt 0.000 0.500 0.640 (multiplicity 2)
7 Pt 0.500 0.500 0.000 (multiplicity 1)


(14)
DFT (PBE-GGA) results for an optimized crystal structure of HoMgZnSn.

Output
- Calculated formation energy: -0.2889 eV per atom

a = 7.131 Å, b = 7.131 Å, c = 7.131 Å
α = 90.00°, β = 90.00°, γ = 90.00°
Space group F-43m (No. 216)
Asymmetric unit:
1 Ho 0.000 0.000 0.000 (multiplicity 4)
2 Mg 0.000 0.000 0.500 (multiplicity 4)
3 Zn 0.250 0.250 0.750 (multiplicity 4)
4 Sn 0.250 0.250 0.250 (multiplicity 4)


(15)
DFT (PBE-GGA) results for an optimized crystal structure of AgPd4Au4.

Output
- Calculated formation energy: 0.1372 eV per atom

a = 5.837 Å, b = 5.837 Å, c = 9.803 Å
α = 90.00°, β = 90.00°, γ = 90.00°
Space group P4_2/nmc (No. 137, origin choice 2)
Asymmetric unit:
1 Ag 0.250 0.750 0.250 (multiplicity 2)
2 Pd 0.031 0.250 0.188 (multiplicity 8)
3 Au 0.001 0.250 0.484 (multiplicity 8)


(16)
DFT (PBE-GGA) results for an optimized crystal structure of Th2Ni9Ir.

Output
- Calculated formation energy: -0.1506 eV per atom

a = 4.9761 Å, b = 4.9761 Å, c = 24.0576 Å
α = 90.00°, β = 90.00°, γ = 120.00°
Space group R-3m (No. 166, hexagonal axes)
Asymmetric unit:
1 Th 0.0000 0.0000 0.1267 (multiplicity 6)
2 Ni 0.0000 0.0000 0.3330 (multiplicity 6)
3 Ni 0.0000 0.0000 0.5000 (multiplicity 3)
4 Ni 0.0014 0.5007 0.9193 (multiplicity 18)
5 Ir 0.0000 0.0000 0.0000 (multiplicity 3)


(17)
DFT (PBE-GGA) results for an optimized crystal structure of Ba2Sr6In.

Output
- Calculated formation energy: -0.0395 eV per atom

a = 4.314 Å, b = 19.441 Å, c = 11.281 Å
α = 90.00°, β = 90.00°, γ = 90.00°
Space group Amm2 (No. 38)
Asymmetric unit:
1 Ba 0.000 0.177 0.000 (multiplicity 4)
2 Sr 0.000 0.000 0.769 (multiplicity 2)
3 Sr 0.000 0.113 0.368 (multiplicity 4)
4 Sr 0.500 0.000 0.112 (multiplicity 2)
5 Sr 0.500 0.167 0.674 (multiplicity 4)
6 In 0.500 0.000 0.522 (multiplicity 2)


(18)
DFT (PBE-GGA) results for an optimized crystal structure of FeAu2Se.

Output
- Formation energy from raw total energies: 325 meV per atom

a = 3.913 Å, b = 3.913 Å, c = 4.643 Å
α = 90.00°, β = 90.00°, γ = 90.00°
Space group P4/mmm (No. 123)
Asymmetric unit:
1 Fe 0.000 0.000 0.000 (multiplicity 1)
2 Au 0.000 0.500 0.500 (multiplicity 2)
3 Se 0.500 0.500 0.000 (multiplicity 1)


(19)
DFT (PBE-GGA) results for an optimized crystal structure of Ta2MnIn.

Output
- Calculated formation energy: 0.2095 eV per atom

a = 2.959 Å, b = 4.398 Å, c = 5.556 Å
α = 90.00°, β = 102.15°, γ = 90.00°
Space group Pm (No. 6)
Asymmetric unit:
1 Ta 0.000 0.000 0.000 (multiplicity 1)
2 Ta 0.311 0.500 0.746 (multiplicity 1)
3 Mn 0.581 0.000 0.576 (multiplicity 1)
4 In 0.633 0.500 0.276 (multiplicity 1)


(20)
DFT (PBE-GGA) results for an optimized crystal structure of TiBCl3.

Output
- Formation energy from raw total energies: 327 meV per atom

a = 4.485 Å, b = 4.485 Å, c = 4.485 Å
α = 90.00°, β = 90.00°, γ = 90.00°
Space group Pm-3m (No. 221)
Asymmetric unit:
1 Ti 0.000 0.000 0.000 (multiplicity 1)
2 B 0.500 0.500 0.500 (multiplicity 1)
3 Cl 0.000 0.500 0.500 (multiplicity 3)


Short version: M_tot = 0.00; 0.00; 3.80; 0.00; 0.00; 1.00; 3.57; 1.15; 0.00; 0.02; 1.00; 0.00; 0.00; 0.00; 0.00; 2.40; 0.47; 3.46; 0.49; 2.32 μB/f.u., in the order given.